A plane-wave DFT calculation with PBE with a Hubbard U was carried out for a relaxed Ba2MgV2Si4O14 crystal.

Calculated values
For the magnetic moment, the calculation gives 4.00 μB/cell. The calculation puts the total DFT energy (no corrections) at -7.480 eV per atom. Its distance to the lowest polymorph of the same formula is 0 meV/atom. The symmetry is No. 1.

```
23
Lattice="5.604 0.000 0.000 0.565 7.392 0.000 2.502 -0.078 7.753" Properties=species:S:1:pos:R:3 pbc="T T T"
Ba 0.000 0.000 0.000
Ba 2.966 3.596 1.330
Mg 2.265 2.801 5.623
V 3.539 5.192 5.017
V 3.280 7.332 2.662
Si 5.383 1.493 6.016
Si 6.094 5.647 5.877
Si 5.849 5.262 2.660
Si 5.692 2.011 2.861
O 1.629 5.893 2.118
O 1.396 1.357 2.111
O 3.168 6.957 4.458
O 3.048 3.698 4.063
O 3.868 1.861 6.400
O 4.738 5.138 6.639
O 4.317 1.316 2.356
O 4.540 5.914 1.916
O 6.224 7.249 6.210
O 5.625 5.437 4.292
O 6.548 2.123 6.962
O 5.919 1.973 4.503
O 5.762 3.617 2.346
O 7.470 4.887 6.249
```